Tl5Pb2: relaxed, PBE.

Lattice parameters (Å, degrees): 6.1996 6.7435 10.8711 91.09 106.57 90.00
Element x y z (fractional)
Tl 0.0558 0.5338 0.2856
Tl 0.7701 0.9662 0.7144
Tl 0.3723 0.3209 0.5726
Tl 0.7997 0.1791 0.4274
Tl 0.6277 0.6791 0.4274
Tl 0.2003 0.8209 0.5726
Tl 0.2299 0.0338 0.2856
Tl 0.9442 0.4662 0.7144
Tl 0.0856 0.7500 0.0000
Tl 0.9144 0.2500 0.0000
Pb 0.5140 0.6052 0.8589
Pb 0.6552 0.8948 0.1411
Pb 0.4860 0.3948 0.1411
Pb 0.3448 0.1052 0.8589

Computed properties:
As for the total magnetization: 0.0 μB/f.u. For the calculated volume, the calculation gives 436 Å³ per cell. The energy relative to the elements is 0.8 kJ per mole of atoms.